# 1
Entry from Alexandria via LeMat-Bulk: crystalline BeAlIn2 at its relaxed geometry (PBE).

Results
Calculated formation energy   402 meV per atom
Crystal system   tetragonal
VASP energy   -2.834 eV/atom
ΔE to the lowest computed polymorph   43 kJ/mol of formula units

a b c (Å): 3.1241 3.1241 7.9557
angles (deg): 90.00 90.00 90.00
With the nearest neighbours (Å) after each atom.
Space group P4/mmm (No. 123)
One atom of each set of equivalent atoms:
Be1 0.0000 0.0000 0.0000  8 In 2.80, 4 Be 3.12
Al1 0.0000 0.0000 0.5000  4 Al 3.12, 8 In 3.16
In1 0.5000 0.5000 0.2159  4 Be 2.80, 4 In 3.12

---

# 2
Entry from Alexandria via LeMat-Bulk: crystalline PuTi8Nb6 at its relaxed geometry (PBE).

Results
Calculated formation energy   91 meV per atom
Crystal system   trigonal
VASP energy   -9.103 eV/atom

a b c (Å): 7.3832 7.3832 17.0863
angles (deg): 90.00 90.00 120.00
With the nearest neighbours (Å) after each atom.
Space group R-3 (No. 148, hexagonal axes)
One atom of each set of equivalent atoms:
Pu1 0.0000 0.0000 0.0000  6 Ti 2.84, 6 Nb 2.90
Ti1 0.0000 0.0000 0.4222  4 Ti 2.66-2.80, 3 Nb 2.81
Ti2 0.0524 0.7989 0.1324  3 Nb 2.77-2.99, 6 Ti 2.80-3.05, 1 Pu 2.84
Nb1 0.0187 0.2424 0.7074  3 Nb 2.76-2.99, 4 Ti 2.77-2.99, 1 Pu 2.90